Below is Ce6RuRh3 after structural relaxation, with properties calculated at the GGA-PBE level.

## Properties
Total DFT energy (no corrections) (eV/atom): -7.15
E_form (eV/atom): -0.4549
Symmetry: P2_1/m

The structure in POSCAR format:
```
Ce6RuRh3
1.0
11.512 0.000 0.000
0.000 3.923 0.000
-5.103 0.000 10.727
Ce Ru Rh
12 2 6
direct
0.028 0.250 0.421
0.136 0.250 0.986
0.211 0.750 0.271
0.253 0.750 0.775
0.407 0.250 0.562
0.419 0.750 0.133
0.581 0.250 0.867
0.593 0.750 0.438
0.747 0.250 0.225
0.789 0.250 0.729
0.864 0.750 0.014
0.972 0.750 0.579
0.402 0.250 0.309
0.598 0.750 0.691
0.009 0.250 0.169
0.219 0.750 0.514
0.386 0.250 0.957
0.614 0.750 0.043
0.781 0.250 0.486
0.991 0.750 0.831
```

***

Below is CeRuRh after structural relaxation, with properties calculated at the GGA-PBE level.

## Properties
Total DFT energy (no corrections) (eV/atom): -8.02
E_form (eV/atom): -0.5014
Symmetry: Imma
Offset from the most stable computed form (meV/atom): 0.0

The structure in POSCAR format:
```
CeRuRh
1.0
5.043 0.000 0.000
0.000 5.407 0.000
0.000 0.000 7.983
Ce Ru Rh
4 4 4
direct
0.000 0.250 0.126
0.000 0.750 0.874
0.500 0.250 0.374
0.500 0.750 0.626
0.250 0.250 0.750
0.250 0.750 0.250
0.750 0.250 0.750
0.750 0.750 0.250
0.000 0.000 0.500
0.000 0.500 0.500
0.500 0.000 0.000
0.500 0.500 0.000
```

***

Below is Ce4RuRh12 after structural relaxation, with properties calculated at the GGA-PBE level.

## Properties
Total DFT energy (no corrections) (eV/atom): -7.62
E_form (eV/atom): -0.4926
Symmetry: Im-3m

The structure in POSCAR format:
```
Ce4RuRh12
1.0
-4.191 4.191 4.191
4.191 -4.191 4.191
4.191 4.191 -4.191
Ce Ru Rh
4 1 12
direct
0.000 0.000 0.500
0.000 0.500 0.000
0.500 0.000 0.000
0.500 0.500 0.500
0.000 0.000 0.000
0.000 0.295 0.295
0.000 0.705 0.705
0.250 0.500 0.750
0.250 0.750 0.500
0.295 0.000 0.295
0.295 0.295 0.000
0.500 0.250 0.750
0.500 0.750 0.250
0.705 0.000 0.705
0.705 0.705 0.000
0.750 0.250 0.500
0.750 0.500 0.250
```

***

Below is CeRuRh after structural relaxation, with properties calculated at the GGA-PBE level.

## Properties
Total DFT energy (no corrections) (eV/atom): -7.95
E_form (eV/atom): -0.4331
Symmetry: P-1
Offset from the most stable computed form (meV/atom): 68.3

The structure in POSCAR format:
```
CeRuRh
1.0
5.552 0.000 0.000
2.234 6.511 0.000
2.234 -0.139 6.510
Ce Ru Rh
4 4 4
direct
0.244 0.262 0.014
0.246 0.763 0.511
0.754 0.237 0.489
0.756 0.738 0.986
0.113 0.302 0.552
0.113 0.802 0.052
0.887 0.198 0.948
0.887 0.698 0.448
0.417 0.457 0.207
0.417 0.957 0.707
0.583 0.043 0.293
0.583 0.543 0.793
```

***

Below is Ce4Ru2Rh after structural relaxation, with properties calculated at the GGA-PBE level.

## Properties
Total DFT energy (no corrections) (eV/atom): -7.54
E_form (eV/atom): -0.4474
Symmetry: I-42d
Offset from the most stable computed form (meV/atom): 0.0

The structure in POSCAR format:
```
Ce4Ru2Rh
1.0
-4.328 4.328 4.255
4.328 -4.328 4.255
4.328 4.328 -4.255
Ce Ru Rh
8 4 2
direct
0.012 0.764 0.134
0.120 0.486 0.748
0.121 0.988 0.752
0.236 0.370 0.248
0.514 0.262 0.634
0.629 0.880 0.366
0.630 0.879 0.866
0.738 0.371 0.252
0.008 0.125 0.383
0.375 0.992 0.117
0.742 0.625 0.617
0.875 0.258 0.883
0.250 0.750 0.500
0.500 0.500 0.000
```

***

Below is Ce8RuRh5 after structural relaxation, with properties calculated at the GGA-PBE level.

## Properties
Total DFT energy (no corrections) (eV/atom): -7.29
E_form (eV/atom): -0.6098
Symmetry: I-4

The structure in POSCAR format:
```
Ce8RuRh5
1.0
-4.319 4.319 4.350
4.319 -4.319 4.350
4.319 4.319 -4.350
Ce Ru Rh
8 1 5
direct
0.263 0.508 0.639
0.375 0.241 0.248
0.376 0.737 0.246
0.492 0.131 0.754
0.759 0.007 0.134
0.869 0.624 0.361
0.873 0.625 0.866
0.993 0.127 0.752
0.500 0.500 0.000
0.002 0.374 0.129
0.127 0.998 0.372
0.245 0.873 0.871
0.626 0.755 0.628
0.750 0.250 0.500
```

***

Below is Ce5Ru2Rh after structural relaxation, with properties calculated at the GGA-PBE level.

## Properties
Total DFT energy (no corrections) (eV/atom): -7.17
E_form (eV/atom): -0.2247
Symmetry: Cmcm

The structure in POSCAR format:
```
Ce5Ru2Rh
1.0
2.756 -6.073 0.000
2.756 6.073 0.000
0.000 0.000 13.625
Ce Ru Rh
10 4 2
direct
0.049 0.951 0.622
0.049 0.951 0.878
0.258 0.742 0.250
0.347 0.653 0.563
0.347 0.653 0.937
0.653 0.347 0.063
0.653 0.347 0.437
0.742 0.258 0.750
0.951 0.049 0.122
0.951 0.049 0.378
0.150 0.850 0.061
0.150 0.850 0.439
0.850 0.150 0.561
0.850 0.150 0.939
0.224 0.776 0.750
0.776 0.224 0.250
```

***

Below is Ce8Ru3Rh2 after structural relaxation, with properties calculated at the GGA-PBE level.

## Properties
Total DFT energy (no corrections) (eV/atom): -7.25
E_form (eV/atom): -0.3291
Symmetry: C2/m

The structure in POSCAR format:
```
Ce8Ru3Rh2
1.0
7.127 -3.857 0.000
7.127 3.857 0.000
-2.399 0.000 6.191
Ce Ru Rh
8 3 2
direct
0.111 0.111 0.242
0.149 0.625 0.243
0.345 0.345 0.717
0.375 0.851 0.757
0.625 0.149 0.243
0.655 0.655 0.283
0.851 0.375 0.757
0.889 0.889 0.758
0.000 0.000 0.500
0.304 0.696 0.000
0.696 0.304 0.000
0.242 0.242 0.022
0.758 0.758 0.978
```

***

Below is Ce6Ru5Rh after structural relaxation, with properties calculated at the GGA-PBE level.

## Properties
Total DFT energy (no corrections) (eV/atom): -7.75
E_form (eV/atom): -0.3092
Symmetry: C2/m
Offset from the most stable computed form (meV/atom): 71.8

The structure in POSCAR format:
```
Ce6Ru5Rh
1.0
3.425 -5.487 0.000
3.425 5.487 0.000
-1.691 0.000 6.922
Ce Ru Rh
6 5 1
direct
0.061 0.403 0.724
0.228 0.228 0.212
0.403 0.061 0.724
0.597 0.939 0.276
0.772 0.772 0.788
0.939 0.597 0.276
0.000 0.000 0.500
0.212 0.788 0.000
0.369 0.631 0.500
0.631 0.369 0.500
0.788 0.212 0.000
0.500 0.500 0.000
```

***

Below is Ce4RuRh3 after structural relaxation, with properties calculated at the GGA-PBE level.

## Properties
Total DFT energy (no corrections) (eV/atom): -7.56
E_form (eV/atom): -0.6793
Symmetry: Pmm2

The structure in POSCAR format:
```
Ce4RuRh3
1.0
3.848 0.000 0.000
0.000 3.984 0.000
0.000 0.000 11.255
Ce Ru Rh
4 1 3
direct
0.000 0.000 0.000
0.000 0.500 0.271
0.500 0.000 0.492
0.500 0.500 0.771
0.500 0.000 0.235
0.000 0.000 0.732
0.000 0.500 0.539
0.500 0.500 0.038
```